First-principles (PBE-GGA) data for crystalline Rb2PmH2O4 at its relaxed geometry, as listed in Alexandria via LeMat-Bulk.

Cell: 3.611 6.601 6.874 Å, 108.28 105.23 90.00°
Fractional coordinates of all 9 atoms:
O1 0.512 0.779 0.023
O2 0.488 0.221 0.977
O3 0.809 0.824 0.617
H1 0.767 0.922 0.535
O4 0.191 0.176 0.383
Rb1 0.144 0.581 0.288
Rb2 0.856 0.419 0.712
Pm1 0.000 0.000 0.000
H2 0.233 0.078 0.465

SG = No. 12
E_tot = -5.32 eV per atom